# BaAl5CuPd

Crystalline BaAl5CuPd at its relaxed geometry (PBE-GGA, the Open Quantum Materials Database).

As for the density: 4.69 Mg/m³. The uncorrected energy comes out at -4.13 eV per atom.

It has space group Imm2 (No. 44), with a = 4.1759 Å, b = 7.3493 Å, c = 10.2098 Å, α = 90.00°, β = 90.00° and γ = 90.00°. Symmetry generates all atoms from Ba at (0.0000, 0.0000, 0.0000), Al at (0.0000, 0.1854, 0.3404), Al at (0.0000, 0.1878, 0.6544), Al at (0.0000, 0.5000, 0.9909), Cu at (0.0000, 0.5000, 0.7584) and Pd at (0.0000, 0.5000, 0.2281).


# Ba2Al4CuPt

Crystalline Ba2Al4CuPt at its relaxed geometry (PBE-GGA, the Open Quantum Materials Database).

As for the density: 5.49 Mg/m³. The uncorrected energy comes out at -4.08 eV per atom. For the total magnetic moment, the calculation gives 0.0 μB per cell.

It has space group Amm2 (No. 38), with a = 7.3639 Å, b = 4.2440 Å, c = 12.4049 Å, α = 90.00°, β = 90.00° and γ = 90.00°. Symmetry generates all atoms from Ba at (0.0000, 0.0000, 0.0000), Ba at (0.5000, 0.0000, 0.0844), Al at (0.1848, 0.0000, 0.7272), Al at (0.3113, 0.0000, 0.3539), Cu at (0.0000, 0.0000, 0.2698) and Pt at (0.5000, 0.0000, 0.8162).


# Ba5Er2ZrAl2O13

Crystalline Ba5Er2ZrAl2O13 at its relaxed geometry (PBE-GGA, the Open Quantum Materials Database).

As for the density: 5.97 Mg/m³. The uncorrected energy comes out at -7.41 eV per atom. For the total magnetic moment, the calculation gives 0.0 μB per cell.

It has space group P6_3/mmc (No. 194), with a = 5.9539 Å, b = 5.9539 Å, c = 24.8995 Å, α = 90.00°, β = 90.00° and γ = 120.00°. Symmetry generates all atoms from Ba at (0.0000, 0.0000, 0.1385), Ba at (0.3333, 0.6667, 0.0423), Ba at (0.3333, 0.6667, 0.7500), Er at (0.3333, 0.6667, 0.6040), Zr at (0.0000, 0.0000, 0.0000), Al at (0.3333, 0.6667, 0.1809), O at (0.0091, 0.5045, 0.1585), O at (0.1634, 0.3267, 0.5506) and O at (0.3333, 0.6667, 0.2500).


# BaAl2Fe

Crystalline BaAl2Fe at its relaxed geometry (PBE-GGA, the Open Quantum Materials Database).

As for the density: 4.95 Mg/m³. The uncorrected energy comes out at -3.92 eV per atom. For the total magnetic moment, the calculation gives 10.2 μB per cell.

It has space group F-43m (No. 216), with a = 6.9196 Å, b = 6.9196 Å, c = 6.9196 Å, α = 90.00°, β = 90.00° and γ = 90.00°. Symmetry generates all atoms from Ba at (0.0000, 0.0000, 0.0000), Al at (0.0000, 0.0000, 0.5000), Al at (0.2500, 0.2500, 0.7500) and Fe at (0.2500, 0.2500, 0.2500).


# BaAl2GaPd2

Crystalline BaAl2GaPd2 at its relaxed geometry (PBE-GGA, the Open Quantum Materials Database).

As for the density: 6.35 Mg/m³. The uncorrected energy comes out at -4.48 eV per atom.

It has space group Cmcm (No. 63), with a = 10.9842 Å, b = 8.0786 Å, c = 5.5897 Å, α = 90.00°, β = 90.00° and γ = 90.00°. Symmetry generates all atoms from Ba at (0.0000, 0.1551, 0.2500), Al at (0.2001, 0.2250, 0.7500), Ga at (0.0000, 0.4151, 0.7500) and Pd at (0.1991, 0.5000, 0.0000).


# BaAl2ZnGa

Crystalline BaAl2ZnGa at its relaxed geometry (PBE-GGA, the Open Quantum Materials Database).

As for the density: 4.82 Mg/m³. The uncorrected energy comes out at -3.06 eV per atom.

It has space group I4mm (No. 107), with a = 4.4201 Å, b = 4.4201 Å, c = 11.5144 Å, α = 90.00°, β = 90.00° and γ = 90.00°. Symmetry generates all atoms from Ba at (0.0000, 0.0000, 0.0000), Al at (0.0000, 0.5000, 0.2491), Zn at (0.0000, 0.0000, 0.6199) and Ga at (0.0000, 0.0000, 0.3855).